Entry 1:
A relaxed GeTeSe crystal. Source: Alexandria, functional PBE.

Excess energy over the best structure of this formula in the dataset = 0.10 eV/f.u.
Total DFT energy (no corrections) = -3.8215 eV/atom
Formation energy without anion corrections = -0.074 eV per atom
Space group = Pm, No. 6
N(E_F) = 0.13 states/eV/atom
Calculated volume = 166.8 Å³ per cell

CIF file:
```
data_GeTeSe
_symmetry_space_group_name_H-M 'P 1'
_symmetry_Int_Tables_number 1
_cell_length_a 4.292
_cell_length_b 3.941
_cell_length_c 9.962
_cell_angle_alpha 90.00
_cell_angle_beta 98.19
_cell_angle_gamma 90.00
loop_
_symmetry_equiv_pos_as_xyz
'x,y,z'
loop_
_atom_site_label
_atom_site_type_symbol
_atom_site_fract_x
_atom_site_fract_y
_atom_site_fract_z
_atom_site_occupancy
Ge1 Ge 0.000 0.000 0.000 1
Ge2 Ge 0.431 0.500 0.732 1
Te1 Te 0.081 0.500 0.446 1
Te2 Te 0.348 0.000 0.289 1
Se1 Se 0.415 0.500 0.012 1
Se2 Se 0.837 0.000 0.716 1
```

---

Entry 2:
A relaxed Tb3Cu3Pd2 crystal. Source: Alexandria, functional PBE.

Total DFT energy (no corrections) = -5.0894 eV/atom
Space group = Cmcm, No. 63
N(E_F) = 0.71 states/eV/atom
Calculated formation energy = -519 meV/atom
Calculated volume = 320.1 Å³ per cell

CIF file:
```
data_Tb3Cu3Pd2
_symmetry_space_group_name_H-M 'P 1'
_symmetry_Int_Tables_number 1
_cell_length_a 5.532
_cell_length_b 5.532
_cell_length_c 15.149
_cell_angle_alpha 90.00
_cell_angle_beta 90.00
_cell_angle_gamma 136.34
loop_
_symmetry_equiv_pos_as_xyz
'x,y,z'
loop_
_atom_site_label
_atom_site_type_symbol
_atom_site_fract_x
_atom_site_fract_y
_atom_site_fract_z
_atom_site_occupancy
Tb1 Tb 0.086 0.914 0.602 1
Tb2 Tb 0.086 0.914 0.898 1
Tb3 Tb 0.359 0.641 0.750 1
Tb4 Tb 0.641 0.359 0.250 1
Tb5 Tb 0.914 0.086 0.102 1
Tb6 Tb 0.914 0.086 0.398 1
Cu1 Cu 0.359 0.641 0.250 1
Cu2 Cu 0.390 0.610 0.536 1
Cu3 Cu 0.390 0.610 0.964 1
Cu4 Cu 0.610 0.390 0.036 1
Cu5 Cu 0.610 0.390 0.464 1
Cu6 Cu 0.641 0.359 0.750 1
Pd1 Pd 0.209 0.791 0.111 1
Pd2 Pd 0.209 0.791 0.389 1
Pd3 Pd 0.791 0.209 0.611 1
Pd4 Pd 0.791 0.209 0.889 1
```

---

Entry 3:
A relaxed Ba2AlNiAs crystal. Source: Alexandria, functional PBE.

Total DFT energy (no corrections) = -3.8292 eV/atom
Space group = P4/mmm, No. 123
N(E_F) = 0.50 states/eV/atom
Calculated formation energy = -225 meV/atom
Calculated volume = 163.0 Å³ per cell

CIF file:
```
data_Ba2AlNiAs
_symmetry_space_group_name_H-M 'P 1'
_symmetry_Int_Tables_number 1
_cell_length_a 6.105
_cell_length_b 6.105
_cell_length_c 4.375
_cell_angle_alpha 90.00
_cell_angle_beta 90.00
_cell_angle_gamma 90.00
loop_
_symmetry_equiv_pos_as_xyz
'x,y,z'
loop_
_atom_site_label
_atom_site_type_symbol
_atom_site_fract_x
_atom_site_fract_y
_atom_site_fract_z
_atom_site_occupancy
Ba1 Ba 0.000 0.500 0.000 1
Ba2 Ba 0.500 0.000 0.000 1
Al1 Al 0.000 0.000 0.500 1
Ni1 Ni 0.500 0.500 0.000 1
As1 As 0.500 0.500 0.500 1
```

---

Entry 4:
A relaxed Pu2HRu crystal. Source: Alexandria, functional PBE.

Excess energy over the best structure of this formula in the dataset = 0.00 eV/f.u.
Total DFT energy (no corrections) = -10.4371 eV/atom
Space group = P4/mmm, No. 123
N(E_F) = 1.99 states/eV/atom
Calculated volume = 68.9 Å³ per cell

CIF file:
```
data_Pu2HRu
_symmetry_space_group_name_H-M 'P 1'
_symmetry_Int_Tables_number 1
_cell_length_a 3.165
_cell_length_b 3.165
_cell_length_c 6.875
_cell_angle_alpha 90.00
_cell_angle_beta 90.00
_cell_angle_gamma 90.00
loop_
_symmetry_equiv_pos_as_xyz
'x,y,z'
loop_
_atom_site_label
_atom_site_type_symbol
_atom_site_fract_x
_atom_site_fract_y
_atom_site_fract_z
_atom_site_occupancy
Pu1 Pu 0.000 0.000 0.233 1
Pu2 Pu 0.000 0.000 0.767 1
H1 H 0.500 0.500 0.000 1
Ru1 Ru 0.500 0.500 0.500 1
```

---

Entry 5:
A relaxed Ac2TePRh6 crystal. Source: Alexandria, functional PBE.

Total DFT energy (no corrections) = -6.7768 eV/atom
Formation energy without anion corrections = -0.689 eV per atom
Space group = Pmmn, No. 59
N(E_F) = 0.51 states/eV/atom
Calculated volume = 409.2 Å³ per cell

CIF file:
```
data_Ac2TePRh6
_symmetry_space_group_name_H-M 'P 1'
_symmetry_Int_Tables_number 1
_cell_length_a 5.884
_cell_length_b 8.886
_cell_length_c 7.826
_cell_angle_alpha 90.00
_cell_angle_beta 90.00
_cell_angle_gamma 90.00
loop_
_symmetry_equiv_pos_as_xyz
'x,y,z'
loop_
_atom_site_label
_atom_site_type_symbol
_atom_site_fract_x
_atom_site_fract_y
_atom_site_fract_z
_atom_site_occupancy
Ac1 Ac 0.250 0.013 0.225 1
Ac2 Ac 0.250 0.487 0.225 1
Ac3 Ac 0.750 0.513 0.775 1
Ac4 Ac 0.750 0.987 0.775 1
Te1 Te 0.250 0.750 0.781 1
Te2 Te 0.750 0.250 0.219 1
P1 P 0.250 0.250 0.727 1
P2 P 0.750 0.750 0.273 1
Rh1 Rh 0.003 0.750 0.055 1
Rh2 Rh 0.014 0.750 0.484 1
Rh3 Rh 0.250 0.003 0.614 1
Rh4 Rh 0.250 0.497 0.614 1
Rh5 Rh 0.486 0.750 0.484 1
Rh6 Rh 0.497 0.750 0.055 1
Rh7 Rh 0.503 0.250 0.945 1
Rh8 Rh 0.514 0.250 0.516 1
Rh9 Rh 0.750 0.503 0.386 1
Rh10 Rh 0.750 0.997 0.386 1
Rh11 Rh 0.986 0.250 0.516 1
Rh12 Rh 0.997 0.250 0.945 1
```

---

Entry 6:
A relaxed Pm2ErAl crystal. Source: Alexandria, functional PBE.

Excess energy over the best structure of this formula in the dataset = 0.15 eV/f.u.
Total DFT energy (no corrections) = -4.5962 eV/atom
Space group = P4/mmm, No. 123
N(E_F) = 1.06 states/eV/atom
Calculated formation energy = -145 meV/atom
Calculated volume = 116.4 Å³ per cell

CIF file:
```
data_Pm2ErAl
_symmetry_space_group_name_H-M 'P 1'
_symmetry_Int_Tables_number 1
_cell_length_a 3.555
_cell_length_b 3.555
_cell_length_c 9.210
_cell_angle_alpha 90.00
_cell_angle_beta 90.00
_cell_angle_gamma 90.00
loop_
_symmetry_equiv_pos_as_xyz
'x,y,z'
loop_
_atom_site_label
_atom_site_type_symbol
_atom_site_fract_x
_atom_site_fract_y
_atom_site_fract_z
_atom_site_occupancy
Pm1 Pm 0.000 0.000 0.217 1
Pm2 Pm 0.000 0.000 0.783 1
Er1 Er 0.500 0.500 0.500 1
Al1 Al 0.500 0.500 0.000 1
```

---

Entry 7:
A relaxed Ce5Si2Sn2 crystal. Source: Alexandria, functional PBE.

Total DFT energy (no corrections) = -5.9807 eV/atom
Formation energy without anion corrections = -0.589 eV per atom
Space group = Cmce, No. 64
N(E_F) = 2.36 states/eV/atom
Calculated volume = 485.0 Å³ per cell

CIF file:
```
data_Ce5Si2Sn2
_symmetry_space_group_name_H-M 'P 1'
_symmetry_Int_Tables_number 1
_cell_length_a 8.698
_cell_length_b 8.698
_cell_length_c 7.918
_cell_angle_alpha 90.00
_cell_angle_beta 90.00
_cell_angle_gamma 54.07
loop_
_symmetry_equiv_pos_as_xyz
'x,y,z'
loop_
_atom_site_label
_atom_site_type_symbol
_atom_site_fract_x
_atom_site_fract_y
_atom_site_fract_z
_atom_site_occupancy
Ce1 Ce 0.000 0.000 0.000 1
Ce2 Ce 0.061 0.684 0.686 1
Ce3 Ce 0.184 0.561 0.186 1
Ce4 Ce 0.316 0.939 0.686 1
Ce5 Ce 0.439 0.816 0.186 1
Ce6 Ce 0.500 0.500 0.500 1
Ce7 Ce 0.561 0.184 0.814 1
Ce8 Ce 0.684 0.061 0.314 1
Ce9 Ce 0.816 0.439 0.814 1
Ce10 Ce 0.939 0.316 0.314 1
Si1 Si 0.109 0.891 0.389 1
Si2 Si 0.391 0.609 0.889 1
Si3 Si 0.609 0.391 0.111 1
Si4 Si 0.891 0.109 0.611 1
Sn1 Sn 0.219 0.219 0.000 1
Sn2 Sn 0.281 0.281 0.500 1
Sn3 Sn 0.719 0.719 0.500 1
Sn4 Sn 0.781 0.781 0.000 1
```

---

Entry 8:
A relaxed Rb2LiAu2Br6 crystal. Source: Alexandria, functional PBE.

Total DFT energy (no corrections) = -2.7575 eV/atom
Formation energy without anion corrections = -0.899 eV per atom
Space group = C2/m, No. 12
N(E_F) = 0.54 states/eV/atom
Calculated volume = 378.7 Å³ per cell

CIF file:
```
data_Rb2LiAu2Br6
_symmetry_space_group_name_H-M 'P 1'
_symmetry_Int_Tables_number 1
_cell_length_a 8.303
_cell_length_b 8.303
_cell_length_c 8.157
_cell_angle_alpha 117.48
_cell_angle_beta 117.48
_cell_angle_gamma 51.67
loop_
_symmetry_equiv_pos_as_xyz
'x,y,z'
loop_
_atom_site_label
_atom_site_type_symbol
_atom_site_fract_x
_atom_site_fract_y
_atom_site_fract_z
_atom_site_occupancy
Rb1 Rb 0.233 0.233 0.218 1
Rb2 Rb 0.767 0.767 0.782 1
Li1 Li 0.000 0.000 0.500 1
Au1 Au 0.439 0.439 0.764 1
Au2 Au 0.561 0.561 0.236 1
Br1 Br 0.175 0.702 0.213 1
Br2 Br 0.252 0.252 0.670 1
Br3 Br 0.298 0.825 0.787 1
Br4 Br 0.702 0.175 0.213 1
Br5 Br 0.748 0.748 0.330 1
Br6 Br 0.825 0.298 0.787 1
```

---

> Among the records above, which one has the lowest N(E_F)?

GeTeSe